[1]
Density functional theory data (GGA-PBE) for crystalline Cs2CaP at its relaxed geometry.

## Properties
E = -0.1459 Ry/atom
Symmetry = No. 225
E_form = 0.295 eV/atom

Lattice parameters (Å, degrees): 6.1827 6.1827 6.1827 60.00 60.00 60.00
Closest atoms and distances in Å follow each position.
Positions (direct):
1 Cs 0.2500 0.2500 0.2500  4 Ca 3.79, 4 P 3.79
2 Cs 0.7500 0.7500 0.7500  4 Ca 3.79, 4 P 3.79
3 Ca 0.0000 0.0000 0.0000  8 Cs 3.79
4 P 0.5000 0.5000 0.5000  8 Cs 3.79



[2]
Density functional theory data (GGA-PBE) for crystalline CsCa3P at its relaxed geometry.

## Properties
E = -0.0829 Ry/atom
Symmetry = No. 221
E_form = 1.326 eV/atom

Lattice parameters (Å, degrees): 5.6515 5.6515 5.6515 90.00 90.00 90.00
Closest atoms and distances in Å follow each position.
Positions (direct):
1 Cs 0.0000 0.0000 0.0000  6 Ca 2.83
2 Ca 0.0000 0.0000 0.5000  2 Cs 2.83
3 Ca 0.0000 0.5000 0.0000  2 Cs 2.83
4 Ca 0.5000 0.0000 0.0000  2 Cs 2.83
5 P 0.5000 0.5000 0.5000  12 Ca 4.00



[3]
Density functional theory data (GGA-PBE) for crystalline CsCaPPd2 at its relaxed geometry.

## Properties
E = -0.1855 Ry/atom
Symmetry = No. 123
E_form = 1.206 eV/atom

Lattice parameters (Å, degrees): 5.0793 5.0793 6.2959 90.00 90.00 90.00
Closest atoms and distances in Å follow each position.
Positions (direct):
1 Cs 0.0000 0.0000 0.0000  4 Pd 2.54
2 Ca 0.0000 0.0000 0.5000  2 Cs 3.15
3 P 0.5000 0.5000 0.5000  4 Ca 3.59
4 Pd 0.0000 0.5000 0.0000  2 Cs 2.54
5 Pd 0.5000 0.0000 0.0000  2 Cs 2.54



[4]
Density functional theory data (GGA-PBE) for crystalline CsCaP2Pt4 at its relaxed geometry.

## Properties
E = -0.3973 Ry/atom
Symmetry = No. 123
E_form = -0.675 eV/atom

Lattice parameters (Å, degrees): 4.1009 4.1009 11.3725 90.00 90.00 90.00
Closest atoms and distances in Å follow each position.
Positions (direct):
1 Cs 0.0000 0.0000 0.0000  8 P 3.75, 8 Pt 4.00, 4 Cs 4.10
2 Ca 0.0000 0.0000 0.5000  8 Pt 3.05
3 P 0.5000 0.5000 0.2086  4 Pt 2.31
4 P 0.5000 0.5000 0.7914  4 Pt 2.31
5 Pt 0.0000 0.5000 0.3020  2 P 2.31
6 Pt 0.0000 0.5000 0.6980  2 P 2.31
7 Pt 0.5000 0.0000 0.3020  2 P 2.31
8 Pt 0.5000 0.0000 0.6980  2 P 2.31



[5]
Density functional theory data (GGA-PBE) for crystalline Cs2CaPS4 at its relaxed geometry.

## Properties
E = -0.3050 Ry/atom
Symmetry = No. 70
Uncorrected formation energy = -946 meV/atom

Lattice parameters (Å, degrees): 14.7563 13.3245 7.8422 84.15 63.93 31.92
Closest atoms and distances in Å follow each position.
Positions (direct):
1 Cs 0.0557 0.0557 0.6943  4 S 3.74-3.78
2 Cs 0.3057 0.3057 0.9443  4 S 3.74-3.78
3 Cs 0.6943 0.6943 0.0557  4 S 3.74-3.78
4 Cs 0.9443 0.9443 0.3057  4 S 3.74-3.78
5 Ca 0.1250 0.1250 0.1250  4 S 2.66
6 Ca 0.8750 0.8750 0.8750  4 S 2.66
7 P 0.3750 0.3750 0.3750  4 S 2.18
8 P 0.6250 0.6250 0.6250  4 S 2.18
9 S 0.0415 0.6148 0.5271  1 P 2.18
10 S 0.3166 0.5271 0.6148  1 P 2.18
11 S 0.3852 0.9585 0.6834  1 P 2.18
12 S 0.4729 0.6834 0.9585  1 P 2.18
13 S 0.5271 0.3166 0.0415  1 P 2.18
14 S 0.6148 0.0415 0.3166  1 P 2.18
15 S 0.6834 0.4729 0.3852  1 P 2.18
16 S 0.9585 0.3852 0.4729  1 P 2.18



[6]
Density functional theory data (GGA-PBE) for crystalline CsCaPS4 at its relaxed geometry.

## Properties
E = -0.3454 Ry/atom
Symmetry = No. 11
Uncorrected formation energy = -1160 meV/atom

Lattice parameters (Å, degrees): 6.5225 6.8173 9.4370 90.00 108.17 90.00
Closest atoms and distances in Å follow each position.
Positions (direct):
1 Cs 0.2276 0.2500 0.4317  8 S 3.57-3.79
2 Cs 0.7724 0.7500 0.5683  8 S 3.57-3.79
3 Ca 0.2672 0.2500 0.9561  6 S 2.86-2.97
4 Ca 0.7328 0.7500 0.0439  6 S 2.86-2.97
5 P 0.2949 0.7500 0.1665  4 S 2.04-2.06
6 P 0.7051 0.2500 0.8335  4 S 2.04-2.06
7 S 0.1070 0.7500 0.3048  1 P 2.05
8 S 0.1069 0.7500 0.9479  1 P 2.04
9 S 0.4972 0.5097 0.2046  1 P 2.06
10 S 0.4972 0.9903 0.2046  1 P 2.06
11 S 0.5028 0.0097 0.7954  1 P 2.06
12 S 0.5028 0.4903 0.7954  1 P 2.06
13 S 0.8931 0.2500 0.0521  1 P 2.04
14 S 0.8930 0.2500 0.6952  1 P 2.05



- Which value of E does entry 6 give?
  -0.3454 Ry/atom



What did the third record say?
Density functional theory data (GGA-PBE) for crystalline CsCaPPd2 at its relaxed geometry.

## Properties
E = -0.1855 Ry/atom
Symmetry = No. 123
E_form = 1.206 eV/atom

Lattice parameters (Å, degrees): 5.0793 5.0793 6.2959 90.00 90.00 90.00
Closest atoms and distances in Å follow each position.
Positions (direct):
1 Cs 0.0000 0.0000 0.0000  4 Pd 2.54
2 Ca 0.0000 0.0000 0.5000  2 Cs 3.15
3 P 0.5000 0.5000 0.5000  4 Ca 3.59
4 Pd 0.0000 0.5000 0.0000  2 Cs 2.54
5 Pd 0.5000 0.0000 0.0000  2 Cs 2.54



- Which of these has the highest E?
  CsCa3P



- Among the records above, which one has the lowest E?
  CsCaP2Pt4